# La2NdY3As6 | the Alexandria database | PBE-GGA | relaxed
# E: -6.707 eV/atom
# Energy of formation from the pure elements: -18.57 eV/f.u.
data_La2NdY3As6
_chemical_formula_sum 'La4 Nd2 Y6 As12'
_symmetry_space_group_name_H-M 'C 1 2/m 1'
_symmetry_Int_Tables_number 12
_symmetry_space_group_name_Hall '-C 2y'
_cell_length_a 18.443
_cell_length_b 4.237
_cell_length_c 8.462
_cell_angle_alpha 90.00
_cell_angle_beta 103.16
_cell_angle_gamma 90.00
loop_
_atom_site_label
_atom_site_type_symbol
_atom_site_fract_x
_atom_site_fract_y
_atom_site_fract_z
La1 La 0.166 0.000 0.332
Nd1 Nd 0.000 0.500 0.000
Y1 Y 0.000 0.500 0.500
Y2 Y 0.167 0.000 0.834
As1 As 0.003 0.000 0.746
As2 As 0.164 0.500 0.590
As3 As 0.168 0.500 0.075



# La2Nd3YAs6 | the Alexandria database | PBE-GGA | relaxed
# E: -6.407 eV/atom
# Energy of formation from the pure elements: -18.37 eV/f.u.
data_La2Nd3YAs6
_chemical_formula_sum 'La4 Nd6 Y2 As12'
_symmetry_space_group_name_H-M 'C 1 2/m 1'
_symmetry_Int_Tables_number 12
_symmetry_space_group_name_Hall '-C 2y'
_cell_length_a 18.672
_cell_length_b 4.287
_cell_length_c 8.571
_cell_angle_alpha 90.00
_cell_angle_beta 103.32
_cell_angle_gamma 90.00
loop_
_atom_site_label
_atom_site_type_symbol
_atom_site_fract_x
_atom_site_fract_y
_atom_site_fract_z
La1 La 0.165 0.000 0.331
Nd1 Nd 0.000 0.500 0.500
Nd2 Nd 0.167 0.000 0.834
Y1 Y 0.000 0.500 0.000
As1 As 0.002 0.000 0.757
As2 As 0.164 0.500 0.079
As3 As 0.166 0.500 0.586



# La2NdYAs4 | the Alexandria database | PBE-GGA | relaxed
# E: -6.507 eV/atom
# Energy of formation from the pure elements: -12.37 eV/f.u.
data_La2NdYAs4
_chemical_formula_sum 'La2 Nd1 Y1 As4'
_symmetry_space_group_name_H-M 'P 1 2/m 1'
_symmetry_Int_Tables_number 10
_symmetry_space_group_name_Hall '-P 2y'
_cell_length_a 7.423
_cell_length_b 4.292
_cell_length_c 7.426
_cell_angle_alpha 90.00
_cell_angle_beta 109.47
_cell_angle_gamma 90.00
loop_
_atom_site_label
_atom_site_type_symbol
_atom_site_fract_x
_atom_site_fract_y
_atom_site_fract_z
La1 La 0.000 0.000 0.000
La2 La 0.000 0.500 0.500
Nd1 Nd 0.500 0.000 0.500
Y1 Y 0.500 0.500 0.000
As1 As 0.257 0.500 0.248
As2 As 0.260 0.000 0.757



# La3Nd2YAs6 | the Alexandria database | PBE-GGA | relaxed
# E: -6.434 eV/atom
# Energy of formation from the pure elements: -18.53 eV/f.u.
data_La3Nd2YAs6
_chemical_formula_sum 'La6 Nd4 Y2 As12'
_symmetry_space_group_name_H-M 'C 1 2/m 1'
_symmetry_Int_Tables_number 12
_symmetry_space_group_name_Hall '-C 2y'
_cell_length_a 18.741
_cell_length_b 4.303
_cell_length_c 8.600
_cell_angle_alpha 90.00
_cell_angle_beta 103.27
_cell_angle_gamma 90.00
loop_
_atom_site_label
_atom_site_type_symbol
_atom_site_fract_x
_atom_site_fract_y
_atom_site_fract_z
La1 La 0.000 0.000 0.000
La2 La 0.167 0.500 0.334
Nd1 Nd 0.166 0.500 0.832
Y1 Y 0.000 0.000 0.500
As1 As 0.000 0.500 0.258
As2 As 0.163 0.000 0.584
As3 As 0.168 0.000 0.081



Repeat the fourth record exactly.
# La3Nd2YAs6 | the Alexandria database | PBE-GGA | relaxed
# E: -6.434 eV/atom
# Energy of formation from the pure elements: -18.53 eV/f.u.
data_La3Nd2YAs6
_chemical_formula_sum 'La6 Nd4 Y2 As12'
_symmetry_space_group_name_H-M 'C 1 2/m 1'
_symmetry_Int_Tables_number 12
_symmetry_space_group_name_Hall '-C 2y'
_cell_length_a 18.741
_cell_length_b 4.303
_cell_length_c 8.600
_cell_angle_alpha 90.00
_cell_angle_beta 103.27
_cell_angle_gamma 90.00
loop_
_atom_site_label
_atom_site_type_symbol
_atom_site_fract_x
_atom_site_fract_y
_atom_site_fract_z
La1 La 0.000 0.000 0.000
La2 La 0.167 0.500 0.334
Nd1 Nd 0.166 0.500 0.832
Y1 Y 0.000 0.000 0.500
As1 As 0.000 0.500 0.258
As2 As 0.163 0.000 0.584
As3 As 0.168 0.000 0.081



Which formula does entry 3 have?
La2NdYAs4



What is the energy of formation from the pure elements in the fourth record?
-18.53 eV/f.u.